Entry from the Alexandria database: a relaxed structure of Y2CoMo (GGA-PBE).

Summary:
The value obtained for the final energy is -29.8 eV for the cell shown. For the distance to the lowest polymorph of the same formula, the calculation gives 77.6 kJ/mol of formula units. For the formation energy, the calculation gives 1.1 eV/f.u. As for the density of states at the Fermi level: 5.09 states/eV/f.u.

Cell: 3.415 3.402 7.867 Å, 64.37 90.00 90.00°
Each line ends with the local moment (μB).
Fractional positions:
Y1 0.000 0.983 0.017  -0.03
Y2 0.000 0.517 0.483  -0.03
Co1 0.500 0.250 0.250  0.85
Mo1 0.500 0.750 0.750  1.20